Pa2ZnCoO8 | PBE with a Hubbard U | relaxed

```
Pa2ZnCoO8
1.0
-2.599 2.599 5.480
2.599 -2.599 5.480
2.599 2.599 -5.480
Pa Zn Co O
2 1 1 8
Direct
0.000 0.000 0.000
0.750 0.250 0.500
0.250 0.750 0.500
0.500 0.500 0.000
0.045 0.015 0.387
0.164 0.591 0.917
0.342 0.955 0.970
0.409 0.327 0.574
0.628 0.658 0.613
0.673 0.247 0.083
0.753 0.836 0.426
0.985 0.372 0.030
```

Output
Crystal system = tetragonal
Raw total energy = -7.8539 eV per atom